[1]
# PBEsol SrNi2P2O8, relaxed
data_SrNi2P2O8
_chemical_formula_sum 'Sr2 Ni4 P4 O16'
_symmetry_space_group_name_H-M 'P -1'
_symmetry_Int_Tables_number 2
_symmetry_space_group_name_Hall '-P 1'
_cell_length_a 5.438
_cell_length_b 6.750
_cell_length_c 9.095
_cell_angle_alpha 111.57
_cell_angle_beta 100.98
_cell_angle_gamma 98.15
loop_
_atom_site_label
_atom_site_type_symbol
_atom_site_fract_x
_atom_site_fract_y
_atom_site_fract_z
Sr1 Sr 0.240 0.203 0.446
Ni1 Ni 0.146 0.861 0.062
Ni2 Ni 0.485 0.400 0.159
P1 P 0.107 0.570 0.256
P2 P 0.347 0.024 0.805
O1 O 0.119 0.401 0.085
O2 O 0.119 0.950 0.868
O3 O 0.149 0.487 0.703
O4 O 0.156 0.803 0.262
O5 O 0.248 0.006 0.632
O6 O 0.337 0.545 0.374
O7 O 0.452 0.125 0.197
O8 O 0.487 0.742 0.069
# total energy = -7.19 eV/atom
# formation energy without anion corrections = -1.980 eV per atom
# ρ = 4.4 g/cm³

[2]
# PBEsol SrNiP2O, relaxed
data_SrNiP2O
_chemical_formula_sum 'Sr1 Ni1 P2 O1'
_symmetry_space_group_name_H-M 'P 4/m m m'
_symmetry_Int_Tables_number 123
_symmetry_space_group_name_Hall '-P 4 2'
_cell_length_a 5.396
_cell_length_b 5.396
_cell_length_c 4.035
_cell_angle_alpha 90.00
_cell_angle_beta 90.00
_cell_angle_gamma 90.00
loop_
_atom_site_label
_atom_site_type_symbol
_atom_site_fract_x
_atom_site_fract_y
_atom_site_fract_z
Sr1 Sr 0.000 0.000 0.000
Ni1 Ni 0.500 0.500 0.500
P1 P 0.000 0.500 0.000
O1 O 0.000 0.000 0.500
# total energy = -3.62 eV/atom
# formation energy without anion corrections = 1.345 eV per atom
# ρ = 3.2 g/cm³

- Among the records above, which one has the lowest total energy?
  SrNi2P2O8

- Which value of total energy does entry 1 give?
  -7.19 eV/atom

- What is the total energy in the second record?
  -3.62 eV/atom

- ρ of number 1 (SrNi2P2O8)?
  4.4 g/cm³